# 1
Material: RbZrTa2Pb
Method: DFT, GGA-PBE
State: optimized geometry

a b c (Å): 5.285 5.285 5.741
angles (deg): 90.00 90.00 90.00
Space group P4/mmm (No. 123)
One atom of each set of equivalent atoms:
Rb  0.000  0.000  0.000 (multiplicity 1)
Zr  0.500  0.500  0.000 (multiplicity 1)
Ta  0.000  0.500  0.500 (multiplicity 2)
Pb  0.000  0.000  0.500 (multiplicity 1)

Computed properties:
The value obtained for the spin magnetization is 0.00 μB/cell. As for the formation energy: 2.219 eV per atom. The value obtained for the total DFT energy (no corrections) is -0.380 Ry/atom.



# 2
Material: RbTbPb
Method: DFT, GGA-PBE
State: optimized geometry

a b c (Å): 10.378 4.813 11.867
angles (deg): 90.00 98.41 90.00
Space group C2/m (No. 12)
One atom of each set of equivalent atoms:
Rb  0.170  0.000  0.174 (multiplicity 4)
Tb  0.147  0.000  0.547 (multiplicity 4)
Pb  0.030  0.500  0.370 (multiplicity 4)

Computed properties:
The value obtained for the spin magnetization is 0.00 μB/cell. As for the formation energy: -0.132 eV per atom. The value obtained for the total DFT energy (no corrections) is -0.238 Ry/atom.



# 3
Material: RbTbPb4
Method: DFT, GGA-PBE
State: optimized geometry

a b c (Å): 9.321 9.321 9.321
angles (deg): 90.00 90.00 90.00
Space group F-43m (No. 216)
One atom of each set of equivalent atoms:
Rb  0.000  0.000  0.000 (multiplicity 4)
Tb  0.250  0.250  0.250 (multiplicity 4)
Pb  0.124  0.124  0.624 (multiplicity 16)

Computed properties:
The value obtained for the spin magnetization is 0.00 μB/cell. As for the formation energy: -0.085 eV per atom. The value obtained for the total DFT energy (no corrections) is -0.256 Ry/atom.